[1]
# CeTm3Bi3 (PBE, relaxed)
# Fermi-level density of states: 9.04 states/eV/f.u.
# Total moment: 3.84 μB/cell
# Energy of formation: -0.5576 eV per atom
data_CeTm3Bi3
_cell_length_a 5.7498
_cell_length_b 9.2001
_cell_length_c 9.2001
_cell_angle_alpha 120.00
_cell_angle_beta 90.00
_cell_angle_gamma 90.00
_symmetry_space_group_name_H-M 'P 1'
_symmetry_Int_Tables_number 1
loop_
_symmetry_equiv_pos_as_xyz
'x,y,z'
loop_
_atom_site_label
_atom_site_fract_x
_atom_site_fract_y
_atom_site_fract_z
Bi1 0.2500 0.0662 0.6370
Bi2 0.2500 0.5708 0.9338
Bi3 0.7500 0.4292 0.0662
Bi4 0.7500 0.6370 0.5708
Bi5 0.2500 0.3630 0.4292
Bi6 0.7500 0.9338 0.3630
Ce1 0.7500 0.3333 0.6667
Ce2 0.2500 0.6667 0.3333
Tm1 0.2500 0.7773 0.7577
Tm2 0.7500 0.2227 0.2423
Tm3 0.2500 0.9805 0.2227
Tm4 0.2500 0.2423 0.0195
Tm5 0.7500 0.7577 0.9805
Tm6 0.7500 0.0195 0.7773

=====

[2]
# CeTm2Bi (PBE, relaxed)
# Fermi-level density of states: 6.84 states/eV/f.u.
# Total moment: 0.48 μB/cell
# Energy of formation: -0.2710 eV per atom
# Distance to the lowest polymorph of the same formula: 37 meV/atom
data_CeTm2Bi
_cell_length_a 3.9630
_cell_length_b 3.9630
_cell_length_c 7.2826
_cell_angle_alpha 90.00
_cell_angle_beta 90.00
_cell_angle_gamma 90.00
_symmetry_space_group_name_H-M 'P 1'
_symmetry_Int_Tables_number 1
loop_
_symmetry_equiv_pos_as_xyz
'x,y,z'
loop_
_atom_site_label
_atom_site_fract_x
_atom_site_fract_y
_atom_site_fract_z
Ce1 0.5000 0.5000 0.5000
Tm1 0.0000 0.0000 0.2308
Tm2 0.0000 0.0000 0.7692
Bi1 0.5000 0.5000 0.0000

=====

[3]
# Ce5TmBi6 (PBE, relaxed)
# Fermi-level density of states: 34.48 states/eV/f.u.
# Total moment: 4.48 μB/cell
# Energy of formation: -0.7834 eV per atom
data_Ce5TmBi6
_cell_length_a 7.9143
_cell_length_b 7.9277
_cell_length_c 7.9273
_cell_angle_alpha 60.00
_cell_angle_beta 80.38
_cell_angle_gamma 70.48
_symmetry_space_group_name_H-M 'P 1'
_symmetry_Int_Tables_number 1
loop_
_symmetry_equiv_pos_as_xyz
'x,y,z'
loop_
_atom_site_label
_atom_site_fract_x
_atom_site_fract_y
_atom_site_fract_z
Tm1 0.0000 0.0000 0.0000
Bi1 0.7547 0.0813 0.3281
Bi2 0.7509 0.7558 0.0000
Bi3 0.2453 0.5906 0.3281
Bi4 0.7547 0.4094 0.6719
Bi5 0.2453 0.9187 0.6719
Bi6 0.2491 0.2442 0.0000
Ce1 0.0000 0.3344 0.3312
Ce2 0.5000 0.5000 0.0000
Ce3 0.5000 0.8306 0.3387
Ce4 0.5000 0.1694 0.6613
Ce5 0.0000 0.6656 0.6688

=====

[4]
# CeTm2Bi4 (PBE, relaxed)
# Fermi-level density of states: 8.21 states/eV/f.u.
# Total moment: 1.87 μB/cell
# Energy of formation: -0.5648 eV per atom
data_CeTm2Bi4
_cell_length_a 4.5176
_cell_length_b 6.1475
_cell_length_c 16.9899
_cell_angle_alpha 90.00
_cell_angle_beta 90.00
_cell_angle_gamma 111.56
_symmetry_space_group_name_H-M 'P 1'
_symmetry_Int_Tables_number 1
loop_
_symmetry_equiv_pos_as_xyz
'x,y,z'
loop_
_atom_site_label
_atom_site_fract_x
_atom_site_fract_y
_atom_site_fract_z
Ce1 0.5639 0.1279 0.7500
Ce2 0.4360 0.8721 0.2500
Tm1 0.8434 0.6867 0.5733
Tm2 0.8434 0.6867 0.9267
Tm3 0.1566 0.3133 0.0733
Tm4 0.1566 0.3133 0.4267
Bi1 0.1461 0.2922 0.2500
Bi2 0.8420 0.6840 0.3802
Bi3 0.8420 0.6840 0.1198
Bi4 0.5000 0.0000 0.0000
Bi5 0.8539 0.7078 0.7500
Bi6 0.1580 0.3160 0.6198
Bi7 0.5000 0.0000 0.5000
Bi8 0.1580 0.3160 0.8802

=====

[5]
# Ce5TmBi4 (PBE, relaxed)
# Fermi-level density of states: 30.68 states/eV/f.u.
# Total moment: 15.21 μB/cell
# Energy of formation: -0.2916 eV per atom
data_Ce5TmBi4
_cell_length_a 5.9486
_cell_length_b 10.4528
_cell_length_c 11.1807
_cell_angle_alpha 90.00
_cell_angle_beta 90.00
_cell_angle_gamma 90.00
_symmetry_space_group_name_H-M 'P 1'
_symmetry_Int_Tables_number 1
loop_
_symmetry_equiv_pos_as_xyz
'x,y,z'
loop_
_atom_site_label
_atom_site_fract_x
_atom_site_fract_y
_atom_site_fract_z
Ce1 0.2636 0.7500 0.7497
Ce2 0.2636 0.7500 0.2503
Ce3 0.7364 0.7500 0.2497
Ce4 0.7364 0.2500 0.7503
Ce5 0.7364 0.2500 0.2497
Ce6 0.2636 0.2500 0.7497
Ce7 0.0005 0.0000 0.5000
Ce8 0.7364 0.7500 0.7503
Ce9 0.9995 0.5000 0.0000
Ce10 0.2636 0.2500 0.2503
Bi1 0.4991 0.3197 0.0000
Bi2 0.9998 0.5000 0.3381
Bi3 0.9998 0.5000 0.6619
Bi4 0.4991 0.6803 0.0000
Bi5 0.5009 0.8197 0.5000
Bi6 0.0002 0.0000 0.8381
Bi7 0.5009 0.1803 0.5000
Bi8 0.0002 0.0000 0.1619
Tm1 0.5003 0.5000 0.5000
Tm2 0.4997 0.0000 0.0000

=====

[6]
# Ce2TmBi5 (PBE, relaxed)
# Fermi-level density of states: 9.48 states/eV/f.u.
# Total moment: 1.35 μB/cell
# Energy of formation: -0.5738 eV per atom
data_Ce2TmBi5
_cell_length_a 4.5409
_cell_length_b 8.0891
_cell_length_c 13.7246
_cell_angle_alpha 90.00
_cell_angle_beta 90.00
_cell_angle_gamma 90.00
_symmetry_space_group_name_H-M 'P 1'
_symmetry_Int_Tables_number 1
loop_
_symmetry_equiv_pos_as_xyz
'x,y,z'
loop_
_atom_site_label
_atom_site_fract_x
_atom_site_fract_y
_atom_site_fract_z
Ce1 0.5000 0.8800 0.6747
Ce2 0.5000 0.6200 0.1747
Ce3 0.5000 0.1200 0.3253
Ce4 0.5000 0.3800 0.8253
Bi1 0.0000 0.0000 0.5000
Bi2 0.5000 0.7640 0.9210
Bi3 0.0000 0.0991 0.7839
Bi4 0.5000 0.2640 0.5790
Bi5 0.0000 0.5991 0.7161
Bi6 0.0000 0.5000 0.0000
Bi7 0.0000 0.4009 0.2839
Bi8 0.0000 0.9009 0.2161
Bi9 0.5000 0.7360 0.4210
Bi10 0.5000 0.2360 0.0790
Tm1 0.0000 0.0000 0.0000
Tm2 0.0000 0.5000 0.5000

=====

[7]
# CeTmBi (PBE, relaxed)
# Fermi-level density of states: 7.12 states/eV/f.u.
# Total moment: 1.82 μB/cell
# Energy of formation: -0.2319 eV per atom
data_CeTmBi
_cell_length_a 3.7603
_cell_length_b 5.3272
_cell_length_c 5.3272
_cell_angle_alpha 120.00
_cell_angle_beta 90.00
_cell_angle_gamma 90.00
_symmetry_space_group_name_H-M 'P 1'
_symmetry_Int_Tables_number 1
loop_
_symmetry_equiv_pos_as_xyz
'x,y,z'
loop_
_atom_site_label
_atom_site_fract_x
_atom_site_fract_y
_atom_site_fract_z
Bi1 0.0780 0.0000 0.0000
Tm1 0.2249 0.6667 0.3333
Ce1 0.6970 0.3333 0.6667

=====

[8]
# Ce5TmBi3 (PBE, relaxed)
# Fermi-level density of states: 28.80 states/eV/f.u.
# Total moment: 12.83 μB/cell
# Energy of formation: -0.4390 eV per atom
data_Ce5TmBi3
_cell_length_a 6.6113
_cell_length_b 9.6792
_cell_length_c 9.6792
_cell_angle_alpha 120.00
_cell_angle_beta 90.00
_cell_angle_gamma 90.00
_symmetry_space_group_name_H-M 'P 1'
_symmetry_Int_Tables_number 1
loop_
_symmetry_equiv_pos_as_xyz
'x,y,z'
loop_
_atom_site_label
_atom_site_fract_x
_atom_site_fract_y
_atom_site_fract_z
Ce1 0.2500 0.3179 0.3179
Ce2 0.0000 0.3333 0.6667
Ce3 0.7500 0.6821 0.6821
Ce4 0.2500 0.6821 0.0000
Ce5 0.5000 0.6667 0.3333
Ce6 0.7500 0.3179 0.0000
Ce7 0.2500 0.0000 0.6821
Ce8 0.0000 0.6667 0.3333
Ce9 0.7500 0.0000 0.3179
Ce10 0.5000 0.3333 0.6667
Bi1 0.7500 0.0000 0.6528
Bi2 0.2500 0.6529 0.6528
Bi3 0.2500 0.3472 0.0000
Bi4 0.7500 0.6528 0.0000
Bi5 0.2500 0.0000 0.3472
Bi6 0.7500 0.3471 0.3472
Tm1 0.5000 0.0000 0.0000
Tm2 0.0000 0.0000 0.0000

=====

[9]
# CeTm2Bi2 (PBE, relaxed)
# Fermi-level density of states: 9.70 states/eV/f.u.
# Total moment: 2.24 μB/cell
# Energy of formation: -0.3655 eV per atom
data_CeTm2Bi2
_cell_length_a 8.1030
_cell_length_b 8.1030
_cell_length_c 6.1084
_cell_angle_alpha 111.07
_cell_angle_beta 111.07
_cell_angle_gamma 99.29
_symmetry_space_group_name_H-M 'P 1'
_symmetry_Int_Tables_number 1
loop_
_symmetry_equiv_pos_as_xyz
'x,y,z'
loop_
_atom_site_label
_atom_site_fract_x
_atom_site_fract_y
_atom_site_fract_z
Bi1 0.6315 0.8685 0.7500
Bi2 0.1876 0.3124 0.7500
Bi3 0.8124 0.6876 0.2500
Bi4 0.3685 0.1315 0.2500
Ce1 0.9043 0.5957 0.7500
Ce2 0.0957 0.4043 0.2500
Tm1 0.4037 0.7291 0.0235
Tm2 0.7709 0.0963 0.4765
Tm3 0.5963 0.2709 0.9765
Tm4 0.2291 0.9037 0.5235

=====

[10]
# CeTm4Bi5 (PBE, relaxed)
# Fermi-level density of states: 7.78 states/eV/f.u.
# Total moment: 0.75 μB/cell
# Energy of formation: -0.7788 eV per atom
data_CeTm4Bi5
_cell_length_a 4.4675
_cell_length_b 6.3227
_cell_length_c 11.8107
_cell_angle_alpha 105.53
_cell_angle_beta 100.90
_cell_angle_gamma 90.00
_symmetry_space_group_name_H-M 'P 1'
_symmetry_Int_Tables_number 1
loop_
_symmetry_equiv_pos_as_xyz
'x,y,z'
loop_
_atom_site_label
_atom_site_fract_x
_atom_site_fract_y
_atom_site_fract_z
Bi1 0.3963 0.8963 0.7926
Bi2 0.6037 0.1037 0.2074
Bi3 0.1992 0.6992 0.3983
Bi4 0.0000 0.5000 0.0000
Bi5 0.8008 0.3008 0.6017
Tm1 0.3994 0.3994 0.7987
Tm2 0.7972 0.7972 0.5944
Tm3 0.2028 0.2028 0.4056
Tm4 0.6006 0.6006 0.2013
Ce1 0.0000 0.0000 0.0000

=====

[11]
# CeTm2Bi (PBE, relaxed)
# Fermi-level density of states: 7.18 states/eV/f.u.
# Total moment: 0.57 μB/cell
# Energy of formation: -0.3076 eV per atom
# Distance to the lowest polymorph of the same formula: 0 meV/atom
data_CeTm2Bi
_cell_length_a 4.7101
_cell_length_b 4.8872
_cell_length_c 4.8872
_cell_angle_alpha 90.00
_cell_angle_beta 90.00
_cell_angle_gamma 90.00
_symmetry_space_group_name_H-M 'P 1'
_symmetry_Int_Tables_number 1
loop_
_symmetry_equiv_pos_as_xyz
'x,y,z'
loop_
_atom_site_label
_atom_site_fract_x
_atom_site_fract_y
_atom_site_fract_z
Tm1 0.0000 0.0000 0.5000
Tm2 0.0000 0.5000 0.0000
Bi1 0.5000 0.5000 0.5000
Ce1 0.5000 0.0000 0.0000

=====

[12]
# CeTm4Bi2 (PBE, relaxed)
# Fermi-level density of states: 12.28 states/eV/f.u.
# Total moment: 2.09 μB/cell
# Energy of formation: -0.3164 eV per atom
data_CeTm4Bi2
_cell_length_a 7.9623
_cell_length_b 6.5497
_cell_length_c 9.1948
_cell_angle_alpha 90.00
_cell_angle_beta 118.65
_cell_angle_gamma 90.00
_symmetry_space_group_name_H-M 'P 1'
_symmetry_Int_Tables_number 1
loop_
_symmetry_equiv_pos_as_xyz
'x,y,z'
loop_
_atom_site_label
_atom_site_fract_x
_atom_site_fract_y
_atom_site_fract_z
Tm1 0.5558 0.0040 0.2120
Tm2 0.5558 0.4960 0.2120
Tm3 0.4442 0.5040 0.7880
Tm4 0.4442 0.9960 0.7880
Tm5 0.1234 0.7500 0.9278
Tm6 0.8766 0.2500 0.0722
Tm7 0.9586 0.7500 0.4954
Tm8 0.0414 0.2500 0.5046
Bi1 0.1823 0.2500 0.9143
Bi2 0.6899 0.7500 0.6435
Bi3 0.8177 0.7500 0.0857
Bi4 0.3101 0.2500 0.3565
Ce1 0.7397 0.2500 0.6353
Ce2 0.2603 0.7500 0.3647

=====

[13]
# CeTm2Bi (PBE, relaxed)
# Fermi-level density of states: 7.74 states/eV/f.u.
# Total moment: 1.46 μB/cell
# Energy of formation: -0.1185 eV per atom
# Distance to the lowest polymorph of the same formula: 189 meV/atom
data_CeTm2Bi
_cell_length_a 3.5626
_cell_length_b 3.5626
_cell_length_c 11.0947
_cell_angle_alpha 80.76
_cell_angle_beta 80.76
_cell_angle_gamma 60.00
_symmetry_space_group_name_H-M 'P 1'
_symmetry_Int_Tables_number 1
loop_
_symmetry_equiv_pos_as_xyz
'x,y,z'
loop_
_atom_site_label
_atom_site_fract_x
_atom_site_fract_y
_atom_site_fract_z
Ce1 0.4998 0.4998 0.5007
Tm1 0.0797 0.0797 0.7609
Tm2 0.2539 0.2539 0.2383
Bi1 0.6666 0.6666 0.0001

=====

[14]
# Ce2YTm3Bi6 (PBE, relaxed)
# Fermi-level density of states: 13.46 states/eV/f.u.
# Total moment: 1.63 μB/cell
# Energy of formation: -0.8041 eV per atom
data_Ce2YTm3Bi6
_cell_length_a 4.5073
_cell_length_b 8.9884
_cell_length_c 10.0496
_cell_angle_alpha 102.80
_cell_angle_beta 102.96
_cell_angle_gamma 90.00
_symmetry_space_group_name_H-M 'P 1'
_symmetry_Int_Tables_number 1
loop_
_symmetry_equiv_pos_as_xyz
'x,y,z'
loop_
_atom_site_label
_atom_site_fract_x
_atom_site_fract_y
_atom_site_fract_z
Bi1 0.3354 0.4113 0.6707
Bi2 0.3329 0.9237 0.6658
Bi3 0.9972 0.2512 0.9945
Bi4 0.6646 0.5887 0.3293
Bi5 0.0028 0.7488 0.0055
Bi6 0.6671 0.0763 0.3342
Tm1 0.5000 0.5000 0.0000
Tm2 0.1671 0.8338 0.3343
Tm3 0.8329 0.1662 0.6657
Ce1 0.1656 0.3315 0.3312
Ce2 0.8344 0.6685 0.6688
Y1 0.5000 0.0000 0.0000

=====

[15]
# Ce2YTmBi5 (PBE, relaxed)
# Fermi-level density of states: 18.09 states/eV/f.u.
# Total moment: 1.93 μB/cell
# Energy of formation: -0.1376 eV per atom
data_Ce2YTmBi5
_cell_length_a 5.4138
_cell_length_b 5.4138
_cell_length_c 11.8167
_cell_angle_alpha 90.00
_cell_angle_beta 90.00
_cell_angle_gamma 90.00
_symmetry_space_group_name_H-M 'P 1'
_symmetry_Int_Tables_number 1
loop_
_symmetry_equiv_pos_as_xyz
'x,y,z'
loop_
_atom_site_label
_atom_site_fract_x
_atom_site_fract_y
_atom_site_fract_z
Tm1 0.0000 0.0000 0.5000
Y1 0.0000 0.0000 0.0000
Bi1 0.0000 0.0000 0.2476
Bi2 0.0000 0.0000 0.7524
Bi3 0.0000 0.5000 0.5000
Bi4 0.5000 0.0000 0.5000
Bi5 0.5000 0.5000 0.0000
Ce1 0.5000 0.5000 0.2835
Ce2 0.5000 0.5000 0.7165

=====

[16]
# CeUBi2 (PBE, relaxed)
# Fermi-level density of states: 9.57 states/eV/f.u.
# Total moment: 3.53 μB/cell
# Energy of formation: 0.1552 eV per atom
# Distance to the lowest polymorph of the same formula: 390 meV/atom
data_CeUBi2
_cell_length_a 3.3267
_cell_length_b 3.3267
_cell_length_c 12.3663
_cell_angle_alpha 82.27
_cell_angle_beta 82.27
_cell_angle_gamma 60.00
_symmetry_space_group_name_H-M 'P 1'
_symmetry_Int_Tables_number 1
loop_
_symmetry_equiv_pos_as_xyz
'x,y,z'
loop_
_atom_site_label
_atom_site_fract_x
_atom_site_fract_y
_atom_site_fract_z
Bi1 0.9097 0.9097 0.2710
Bi2 0.0903 0.0903 0.7290
Ce1 0.0000 0.0000 0.0000
U1 0.5000 0.5000 0.5000

=====

[17]
# CeUBi2 (PBE, relaxed)
# Fermi-level density of states: 12.79 states/eV/f.u.
# Total moment: 4.64 μB/cell
# Energy of formation: -0.2348 eV per atom
# Distance to the lowest polymorph of the same formula: 0 meV/atom
data_CeUBi2
_cell_length_a 3.4065
_cell_length_b 5.8514
_cell_length_c 5.8514
_cell_angle_alpha 90.00
_cell_angle_beta 90.00
_cell_angle_gamma 90.00
_symmetry_space_group_name_H-M 'P 1'
_symmetry_Int_Tables_number 1
loop_
_symmetry_equiv_pos_as_xyz
'x,y,z'
loop_
_atom_site_label
_atom_site_fract_x
_atom_site_fract_y
_atom_site_fract_z
U1 0.5000 0.5000 0.5000
Ce1 0.5000 0.0000 0.0000
Bi1 0.0000 0.0000 0.5000
Bi2 0.0000 0.5000 0.0000

=====

[18]
# CeUBi2 (PBE, relaxed)
# Fermi-level density of states: 11.02 states/eV/f.u.
# Total moment: 4.01 μB/cell
# Energy of formation: -0.2273 eV per atom
# Distance to the lowest polymorph of the same formula: 8 meV/atom
data_CeUBi2
_cell_length_a 5.4932
_cell_length_b 5.4932
_cell_length_c 5.4932
_cell_angle_alpha 60.00
_cell_angle_beta 60.00
_cell_angle_gamma 60.00
_symmetry_space_group_name_H-M 'P 1'
_symmetry_Int_Tables_number 1
loop_
_symmetry_equiv_pos_as_xyz
'x,y,z'
loop_
_atom_site_label
_atom_site_fract_x
_atom_site_fract_y
_atom_site_fract_z
Bi1 0.7500 0.7500 0.7500
Bi2 0.2500 0.2500 0.2500
Ce1 0.0000 0.0000 0.0000
U1 0.5000 0.5000 0.5000

=====

[19]
# Ce2VBi (PBE, relaxed)
# Fermi-level density of states: 8.26 states/eV/f.u.
# Total moment: 3.64 μB/cell
# Energy of formation: 0.3184 eV per atom
data_Ce2VBi
_cell_length_a 3.3294
_cell_length_b 3.3294
_cell_length_c 11.2770
_cell_angle_alpha 81.51
_cell_angle_beta 81.51
_cell_angle_gamma 60.00
_symmetry_space_group_name_H-M 'P 1'
_symmetry_Int_Tables_number 1
loop_
_symmetry_equiv_pos_as_xyz
'x,y,z'
loop_
_atom_site_label
_atom_site_fract_x
_atom_site_fract_y
_atom_site_fract_z
Ce1 0.9017 0.9017 0.2948
Ce2 0.0983 0.0983 0.7052
Bi1 0.0000 0.0000 0.0000
V1 0.5000 0.5000 0.5000

=====

[20]
# CeYBi2 (PBE, relaxed)
# Fermi-level density of states: 6.54 states/eV/f.u.
# Total moment: 0.90 μB/cell
# Energy of formation: -0.7365 eV per atom
# Distance to the lowest polymorph of the same formula: 111 meV/atom
data_CeYBi2
_cell_length_a 4.5105
_cell_length_b 4.5105
_cell_length_c 8.1315
_cell_angle_alpha 73.90
_cell_angle_beta 73.90
_cell_angle_gamma 60.00
_symmetry_space_group_name_H-M 'P 1'
_symmetry_Int_Tables_number 1
loop_
_symmetry_equiv_pos_as_xyz
'x,y,z'
loop_
_atom_site_label
_atom_site_fract_x
_atom_site_fract_y
_atom_site_fract_z
Ce1 0.6690 0.6690 0.9930
Bi1 0.2495 0.2495 0.2514
Bi2 0.0838 0.0838 0.7485
Y1 0.4976 0.4976 0.5071